Sm10HoSc6: optimized geometry, PBE.

DFT total energy (eV per cell): -87.4
Fermi-level density of states (states/eV per cell): 28.93
E_form (kJ/mol of formula units): 228
Spin magnetization (μB per atom): 0.000

Lattice parameters (Å, degrees): 9.4842 9.4842 6.7004 90.00 90.00 120.00
Fractional positions:
Sm: 0.0000 0.2822 0.3223
Sm: 0.0000 0.7178 0.6777
Sm: 0.2822 0.0000 0.3223
Sm: 0.2822 0.2822 0.6777
Sm: 0.3333 0.6667 0.0000
Sm: 0.3333 0.6667 0.5000
Sm: 0.6667 0.3333 0.0000
Sm: 0.6667 0.3333 0.5000
Sm: 0.7178 0.0000 0.6777
Sm: 0.7178 0.7178 0.3223
Ho: 0.0000 0.0000 0.0000
Sc: 0.0000 0.3600 0.8279
Sc: 0.0000 0.6400 0.1721
Sc: 0.3600 0.0000 0.8279
Sc: 0.3600 0.3600 0.1721
Sc: 0.6400 0.0000 0.1721
Sc: 0.6400 0.6400 0.8279